Entry from the Alexandria database: an optimized crystal structure of Pr4Sm5Tm4 (PBE).

abc: 13.0423 13.0423 5.0970
angles: 90.00 90.00 90.00
Space group I4/m (No. 87)
Asymmetric unit:
Pr (0.0779, 0.3815, 0.0000) [8 per cell]
Sm (0.0000, 0.0000, 0.0000) [2 per cell]
Sm (0.0407, 0.1900, 0.5000) [8 per cell]
Tm (0.1540, 0.7692, 0.0000) [8 per cell]

Computed properties:
DFT formation energy (eV per formula unit): 0.267